{"formula": "Tl2NiRhI", "functional": "GGA-PBE", "state": "optimized geometry", "lattice_angstrom": [[5.0193, 0.0000, 0.0000], [0.0000, 5.1846, 0.0000], [0.0000, 0.0000, 5.0193]], "species": ["I", "Ni", "Tl", "Tl", "Rh"], "frac_coords": [[0.0000, 0.5000, 0.0000], [0.0000, 0.0000, 0.0000], [0.0000, 0.0000, 0.5000], [0.5000, 0.0000, 0.0000], [0.5000, 0.5000, 0.5000]], "crystal_system": "tetragonal", "raw_formation_energy_ev_per_atom": 0.680, "m_tot_mub_per_cell": 0.53}